No. 1
Density functional theory data (PBE-GGA) for a geometry-optimized Pr4CoSI2 structure.

- Energy relative to the elements, uncorrected: -1027 meV per atom
- Raw total energy: -5.21 eV per atom
- Total magnetization: 0.0 μB per formula unit

Unit cell a=4.0639 b=7.4994 c=8.2669 alpha=106.77 beta=90.00 gamma=90.00
Fractional positions:
Pr 0.5000 0.2060 0.1843
Pr 0.5000 0.7940 0.8157
Pr 0.0000 0.2641 0.8095
Pr 0.0000 0.7359 0.1905
Co 0.0000 0.0000 0.0000
S 0.5000 0.5000 0.0000
I 0.5000 0.0000 0.5000
I 0.0000 0.5000 0.5000

No. 2
Density functional theory data (PBE-GGA) for a geometry-optimized Pr8CoSe3I4 structure.

- Energy relative to the elements, uncorrected: -1190 meV per atom
- Raw total energy: -5.06 eV per atom
- Total magnetization: 0.0 μB per formula unit

Unit cell a=8.6517 b=9.2436 c=8.6504 alpha=117.90 beta=120.00 gamma=90.00
Fractional positions:
Pr 0.2166 0.6917 0.9749
Pr 0.2169 0.6919 0.4338
Pr 0.2669 0.3010 0.5338
Pr 0.7582 0.6917 0.9749
Pr 0.2418 0.3083 0.0251
Pr 0.7331 0.6990 0.4662
Pr 0.7831 0.3081 0.5662
Pr 0.7834 0.3083 0.0251
Co 0.0000 0.5000 0.0000
Se 0.5000 0.5000 0.0000
Se 0.5000 0.5000 0.5000
Se 0.0000 0.5000 0.5000
I 0.5000 0.0000 0.0000
I 0.5000 0.0000 0.5000
I 0.0000 0.0000 0.0000
I 0.0000 0.0000 0.5000

No. 3
Density functional theory data (PBE-GGA) for a geometry-optimized Pr4CoSeI2 structure.

- Energy relative to the elements, uncorrected: -984 meV per atom
- Raw total energy: -5.09 eV per atom
- Total magnetization: 0.0 μB per formula unit

Unit cell a=4.1134 b=7.7206 c=8.2465 alpha=106.56 beta=90.00 gamma=90.00
Fractional positions:
Pr 0.5000 0.1990 0.1843
Pr 0.5000 0.8010 0.8157
Pr 0.0000 0.2494 0.8050
Pr 0.0000 0.7506 0.1950
Co 0.0000 0.0000 0.0000
Se 0.5000 0.5000 0.0000
I 0.5000 0.0000 0.5000
I 0.0000 0.5000 0.5000

No. 4
Density functional theory data (PBE-GGA) for a geometry-optimized PrSmCoI structure.

- Energy relative to the elements, uncorrected: -564 meV per atom
- Raw total energy: -5.10 eV per atom
- Total magnetization: 0.0 μB per formula unit

Unit cell a=4.0478 b=4.0461 c=8.4625 alpha=89.97 beta=103.81 gamma=120.00
Fractional positions:
Pr 0.5152 0.1553 0.6867
Sm 0.0922 0.9443 0.0505
Co 0.3060 0.5509 0.8721
I 0.9646 0.3803 0.3604

No. 5
Density functional theory data (PBE-GGA) for a geometry-optimized PrThCoI structure.

- Energy relative to the elements, uncorrected: -596 meV per atom
- Raw total energy: -5.81 eV per atom
- Total magnetization: 0.0 μB per formula unit

Unit cell a=4.0714 b=4.1104 c=8.5299 alpha=90.07 beta=103.91 gamma=120.16
Fractional positions:
Pr 0.5161 0.1565 0.6848
Th 0.0789 0.9367 0.0372
Co 0.3146 0.5553 0.8843
I 0.9683 0.3824 0.3635

No. 6
Density functional theory data (PBE-GGA) for a geometry-optimized CoPt2I structure.

- Distance to the lowest polymorph of the same formula: 0.00 eV per formula unit
- Energy relative to the elements, uncorrected: 546 meV per atom
- Raw total energy: -4.64 eV per atom
- Total magnetization: 2.0 μB per formula unit

Unit cell a=7.3542 b=7.3542 c=5.8546 alpha=51.09 beta=51.09 gamma=90.00
Site moments in Bohr magnetons follow the coordinates.
Fractional positions:
I 0.0000 0.0000 0.0000  0.01
I 0.7500 0.2500 0.5000  0.00
Co 0.5000 0.5000 0.0000  1.69
Co 0.2500 0.7500 0.5000  1.66
Pt 0.5961 0.1250 0.2500  0.17
Pt 0.1539 0.6250 0.2500  0.16
Pt 0.3750 0.4039 0.7500  0.16
Pt 0.8750 0.8461 0.7500  0.15